[1]
## NpMnC2 (PBE)

Data for crystalline NpMnC2 at its relaxed geometry.

DFT formation energy (eV per atom): 0.176
SG: R-3m
DOS at the Fermi energy (states/eV/atom): 1.02
Theoretical density (Mg/m³): 11.8

abc: 3.1483 3.1483 5.4994
angles: 73.37 73.37 60.00
Closest atoms and distances in Å follow each position.
Fractional coordinates of all 4 atoms:
C 0.2663 0.2663 0.2011  3 Mn 2.10
Np 0.5000 0.5000 0.5000  6 C 2.39
C 0.7337 0.7337 0.7989  3 Mn 2.10
Mn 0.0000 0.0000 0.0000  6 C 2.10

***

[2]
## NpMn2C (PBE)

Data for crystalline NpMn2C at its relaxed geometry.

DFT formation energy (eV per atom): 0.159
SG: R-3m
DOS at the Fermi energy (states/eV/atom): 0.85
Theoretical density (Mg/m³): 11.6

abc: 2.8581 2.8581 7.4534
angles: 78.95 78.95 60.00
Closest atoms and distances in Å follow each position.
Fractional coordinates of all 4 atoms:
Np 0.5000 0.5000 0.5000  6 Np 2.86, 6 Mn 3.06
C 0.0000 0.0000 0.0000  6 Mn 1.96
Mn 0.7150 0.7150 0.8551  3 C 1.96
Mn 0.2850 0.2850 0.1449  3 C 1.96

***

[3]
## NpMnC (PBE)

Data for crystalline NpMnC at its relaxed geometry.

DFT formation energy (eV per atom): 0.224
SG: C2/m
DOS at the Fermi energy (states/eV/atom): 1.17
Theoretical density (Mg/m³): 13.5

abc: 3.2613 5.4983 5.6612
angles: 52.55 89.91 72.71
Closest atoms and distances in Å follow each position.
Fractional coordinates of all 6 atoms:
C 0.0947 0.3103 0.3947  3 Mn 1.96-1.97
Np 0.6421 0.2163 0.8318  2 Np 2.44, 2 C 2.53-2.54, 1 Mn 2.56
Np 0.3579 0.7837 0.1682  2 Np 2.44, 2 C 2.53-2.54, 1 Mn 2.56
Mn 0.6620 0.1764 0.3057  3 C 1.96-1.97
C 0.9053 0.6897 0.6053  3 Mn 1.96-1.97
Mn 0.3380 0.8236 0.6943  3 C 1.96-1.97

***

[4]
## NpMnC (PBE)

Data for crystalline NpMnC at its relaxed geometry.

DFT formation energy (eV per atom): 0.206
SG: P-6m2
DOS at the Fermi energy (states/eV/atom): 2.12
Theoretical density (Mg/m³): 12.9

abc: 3.5632 3.5657 3.5657
angles: 120.00 90.00 90.00
Closest atoms and distances in Å follow each position.
Fractional coordinates of all 3 atoms:
Mn 0.1667 0.3333 0.6667  3 C 2.06
C 0.1667 0.0000 0.0000  3 Mn 2.06
Np 0.6667 0.6667 0.3333  6 C 2.72, 6 Mn 2.72

***

[5]
## Pu2NpMn2C4 (PBE)

Data for crystalline Pu2NpMn2C4 at its relaxed geometry.

DFT formation energy (eV per atom): -0.021
SG: C2/m
DOS at the Fermi energy (states/eV/atom): 1.78
Theoretical density (Mg/m³): 13.2

abc: 3.3973 7.0016 5.2898
angles: 113.99 90.00 104.04
Closest atoms and distances in Å follow each position.
Fractional coordinates of all 9 atoms:
Pu 0.1354 0.2708 0.5031  7 C 2.39-2.61, 1 Np 2.52
Mn 0.3227 0.6454 0.0144  4 C 1.96-2.08
C 0.5244 0.0489 0.6545  1 C 1.48
C 0.2205 0.4410 0.1882  3 Mn 1.96
C 0.7795 0.5590 0.8118  3 Mn 1.96
Pu 0.8646 0.7292 0.4969  7 C 2.39-2.61, 1 Np 2.52
Mn 0.6773 0.3546 0.9856  4 C 1.96-2.08
C 0.4756 0.9511 0.3455  1 C 1.48
Np 0.0000 0.0000 0.0000  2 Pu 2.52, 6 C 2.62-2.73

***

[6]
## TbNpMnC3 (PBE)

Data for crystalline TbNpMnC3 at its relaxed geometry.

DFT formation energy (eV per atom): 0.058
SG: P2_1/m
DOS at the Fermi energy (states/eV/atom): 1.33
Theoretical density (Mg/m³): 9.0

abc: 3.4694 7.1358 7.2812
angles: 94.71 90.00 90.00
Closest atoms and distances in Å follow each position.
Fractional coordinates of all 12 atoms:
C 0.7500 0.8690 0.1588  1 Mn 1.84
Tb 0.7500 0.8460 0.8197  5 C 2.46-2.67
C 0.7500 0.1600 0.5150  3 Mn 1.89
Tb 0.2500 0.1540 0.1803  5 C 2.46-2.67
Np 0.2500 0.6349 0.1802  5 C 2.24-2.42
Np 0.7500 0.3651 0.8198  5 C 2.24-2.42
C 0.7500 0.4147 0.1278  3 Np 2.24-2.35
Mn 0.7500 0.9079 0.4116  4 C 1.84-1.89
Mn 0.2500 0.0921 0.5884  4 C 1.84-1.89
C 0.2500 0.1310 0.8412  1 Mn 1.84
C 0.2500 0.8400 0.4850  3 Mn 1.89
C 0.2500 0.5853 0.8722  3 Np 2.24-2.35

***

[7]
## Tm2NpMn2C4 (PBE)

Data for crystalline Tm2NpMn2C4 at its relaxed geometry.

DFT formation energy (eV per atom): -0.063
SG: C2/m
DOS at the Fermi energy (states/eV/atom): 0.82
Theoretical density (Mg/m³): 10.7

abc: 3.2767 6.3931 5.9392
angles: 108.34 90.00 104.85
Closest atoms and distances in Å follow each position.
Fractional coordinates of all 9 atoms:
C 0.4725 0.9450 0.2525  1 Mn 1.98
Mn 0.6797 0.3594 0.9959  4 C 1.98-2.05
C 0.2231 0.4463 0.2140  3 Mn 1.99-2.05
Tm 0.8625 0.7250 0.4524  7 C 2.46-2.75
Mn 0.3203 0.6406 0.0041  4 C 1.98-2.05
C 0.7769 0.5537 0.7860  3 Mn 1.99-2.05
Tm 0.1375 0.2750 0.5476  7 C 2.46-2.75
C 0.5275 0.0550 0.7475  1 Mn 1.98
Np 0.0000 0.0000 0.0000  4 C 2.32

***

[8]
## NpU2Mn2C4 (PBE)

Data for crystalline NpU2Mn2C4 at its relaxed geometry.

DFT formation energy (eV per atom): -0.064
SG: C2/m
DOS at the Fermi energy (states/eV/atom): 1.43
Theoretical density (Mg/m³): 13.2

abc: 3.4466 6.9649 5.1661
angles: 113.88 90.00 104.33
Closest atoms and distances in Å follow each position.
Fractional coordinates of all 9 atoms:
C 0.7804 0.5608 0.8088  3 Mn 1.97-1.98
C 0.4775 0.9549 0.3410  1 C 1.49
C 0.2196 0.4392 0.1912  3 Mn 1.97-1.98
Np 0.0000 0.0000 0.0000  2 U 2.53, 6 C 2.57-2.70
C 0.5225 0.0451 0.6590  1 C 1.49
U 0.1365 0.2730 0.5174  7 C 2.38-2.61, 1 Np 2.53
Mn 0.6771 0.3543 0.9917  4 C 1.97-2.08
U 0.8635 0.7270 0.4826  7 C 2.38-2.61, 1 Np 2.53
Mn 0.3229 0.6457 0.0083  4 C 1.97-2.08

***

These records have spin magnetization values of 3.8, 0.2, 0.0, 1.5, 5.1, 2.2, 0.0, 1.1 μB per formula unit, in the order they appear.